Entry 1:
The following is a DFT calculation (PBE) of Li2U2S5 after structural relaxation. Values from VASP.

```
&SYSTEM
  ibrav = 0, nat = 18, ntyp = 3
/
ATOMIC_SPECIES
S 32.06 S.upf
U 238.03 U.upf
Li 6.94 Li.upf
CELL_PARAMETERS angstrom
6.470 0.000 -2.018
-0.528 5.025 -1.694
0.043 1.061 11.520
ATOMIC_POSITIONS crystal
S 0.459 0.926 0.500
U 0.283 0.974 0.705
S 0.225 0.291 0.294
S 0.771 0.893 0.124
Li 0.761 0.672 0.500
S 0.932 0.709 0.706
Li 0.261 0.328 0.500
U 0.078 0.769 0.295
S 0.959 0.074 0.500
Li 0.008 0.000 0.000
S 0.271 0.731 0.124
S 0.725 0.503 0.294
S 0.147 0.269 0.876
S 0.647 0.107 0.876
Li 0.508 0.500 0.000
S 0.432 0.497 0.706
U 0.783 0.231 0.705
U 0.578 0.026 0.295
```

## Properties
- Size of the total moment: 8.01 Bohr magnetons per cell
- Total energy: -6.441 eV/atom
- Energy above the lowest structure with this stoichiometry: 0.058 eV per atom
- Formation energy (no corrections): -1.214 eV per atom
- SG: Ima2


Entry 2:
The following is a DFT calculation (PBE) of CsHPt after structural relaxation. Values from VASP.

```
&SYSTEM
  ibrav = 0, nat = 12, ntyp = 3
/
ATOMIC_SPECIES
H 1.01 H.upf
Cs 132.91 Cs.upf
Pt 195.08 Pt.upf
CELL_PARAMETERS angstrom
-1.278 1.890 -2.720
-9.474 -0.290 4.251
1.395 6.007 3.519
ATOMIC_POSITIONS crystal
H 0.000 0.000 0.425
Cs 0.001 0.750 0.676
Pt 0.500 0.000 0.926
Cs 0.001 0.250 0.676
H 0.501 0.500 0.677
H 0.499 0.500 0.177
Pt 0.500 0.500 0.427
Pt 0.500 0.500 0.927
H 0.000 0.000 0.925
Cs 0.999 0.250 0.176
Pt 0.500 0.000 0.426
Cs 0.999 0.750 0.176
```

## Properties
- Size of the total moment: 0.00 Bohr magnetons per cell
- Total energy: -3.417 eV/atom
- SG: Pmc2_1


Entry 3:
The following is a DFT calculation (PBE) of CaUP2O8 after structural relaxation. Values from VASP.

```
&SYSTEM
  ibrav = 0, nat = 12, ntyp = 4
/
ATOMIC_SPECIES
O 16.00 O.upf
P 30.97 P.upf
Ca 40.08 Ca.upf
U 238.03 U.upf
CELL_PARAMETERS angstrom
-2.803 -1.740 4.233
5.040 -1.683 -0.757
2.390 5.441 3.820
ATOMIC_POSITIONS crystal
O 0.176 0.353 0.716
P 0.333 0.667 0.798
O 0.647 0.823 0.716
O 0.353 0.177 0.284
O 0.177 0.824 0.716
Ca 0.000 0.000 0.000
O 0.333 0.667 0.011
P 0.667 0.333 0.202
O 0.824 0.647 0.284
O 0.667 0.333 0.989
O 0.823 0.176 0.284
U 0.000 0.000 0.500
```

## Properties
- Size of the total moment: 2.00 Bohr magnetons per cell
- Total energy: -7.972 eV/atom
- Formation energy (no corrections): -2.658 eV per atom
- SG: P-3m1


Entry 4:
The following is a DFT calculation (PBE) of Tb after structural relaxation. Values from VASP.

```
&SYSTEM
  ibrav = 0, nat = 2, ntyp = 1
/
ATOMIC_SPECIES
Tb 158.93 Tb.upf
CELL_PARAMETERS angstrom
-1.964 -1.432 -2.671
3.600 0.109 -0.265
0.337 -5.101 2.487
ATOMIC_POSITIONS crystal
Tb 0.833 0.667 0.250
Tb 0.167 0.333 0.750
```

## Properties
- Size of the total moment: 0.00 Bohr magnetons per cell
- Total energy: -4.619 eV/atom
- Energy above the lowest structure with this stoichiometry: 0.012 eV per atom
- Energy relative to the elements: 0.012 eV/atom
- SG: P6_3/mmc


Entry 5:
The following is a DFT calculation (PBE) of AcNdSn after structural relaxation. Values from VASP.

```
&SYSTEM
  ibrav = 0, nat = 3, ntyp = 3
/
ATOMIC_SPECIES
Nd 144.24 Nd.upf
Sn 118.71 Sn.upf
Ac 227.00 Ac.upf
CELL_PARAMETERS angstrom
-4.029 2.231 -2.962
-4.527 -2.886 -1.078
-4.738 1.342 2.395
ATOMIC_POSITIONS crystal
Nd 0.000 0.000 0.000
Sn 0.250 0.250 0.250
Ac 0.500 0.500 0.500
```

## Properties
- Size of the total moment: 0.00 Bohr magnetons per cell
- Total energy: -4.684 eV/atom
- Energy above the lowest structure with this stoichiometry: 0.172 eV per atom
- Energy relative to the elements: -0.391 eV/atom
- SG: F-43m


Entry 6:
The following is a DFT calculation (PBE) of BeHg2Br after structural relaxation. Values from VASP.

```
&SYSTEM
  ibrav = 0, nat = 4, ntyp = 3
/
ATOMIC_SPECIES
Br 79.90 Br.upf
Be 9.01 Be.upf
Hg 200.59 Hg.upf
CELL_PARAMETERS angstrom
-3.003 -0.564 2.498
-1.018 -3.222 2.039
3.945 1.554 8.069
ATOMIC_POSITIONS crystal
Br 0.858 0.858 0.649
Be 0.427 0.427 0.485
Hg 0.020 0.020 0.042
Hg 0.195 0.195 0.324
```

## Properties
- Size of the total moment: 0.00 Bohr magnetons per cell
- Total energy: -1.567 eV/atom
- Energy above the lowest structure with this stoichiometry: 0.000 eV per atom
- Formation energy (no corrections): -0.066 eV per atom
- SG: Cm


Please write out number 4 again, unchanged.
The following is a DFT calculation (PBE) of Tb after structural relaxation. Values from VASP.

```
&SYSTEM
  ibrav = 0, nat = 2, ntyp = 1
/
ATOMIC_SPECIES
Tb 158.93 Tb.upf
CELL_PARAMETERS angstrom
-1.964 -1.432 -2.671
3.600 0.109 -0.265
0.337 -5.101 2.487
ATOMIC_POSITIONS crystal
Tb 0.833 0.667 0.250
Tb 0.167 0.333 0.750
```

## Properties
- Size of the total moment: 0.00 Bohr magnetons per cell
- Total energy: -4.619 eV/atom
- Energy above the lowest structure with this stoichiometry: 0.012 eV per atom
- Energy relative to the elements: 0.012 eV/atom
- SG: P6_3/mmc